DFT (GGA-PBE) results for LaMgSc after structural relaxation.

Results
ΔH_f (0 K)   3 kJ/mol of atoms
Uncorrected energy   -4.26 eV per atom
Polymorph energy (0 for the lowest one)   0.033 eV/atom
M_tot   0.00 μB per formula unit

a = 6.684 Å, b = 5.395 Å, c = 9.580 Å
α = 90.00°, β = 90.00°, γ = 90.00°
Positions (direct):
La 0.189 0.250 0.075
La 0.311 0.750 0.575
La 0.689 0.250 0.425
La 0.811 0.750 0.925
Mg 0.188 0.250 0.408
Mg 0.312 0.750 0.908
Mg 0.688 0.250 0.092
Mg 0.812 0.750 0.592
Sc 0.019 0.250 0.722
Sc 0.481 0.750 0.222
Sc 0.519 0.250 0.778
Sc 0.981 0.750 0.278